[1]
{"formula": "Sc2Co2Tc", "functional": "PBE", "state": "optimized geometry", "cell": [[6.229, 0.000, 0.000], [0.000, 6.229, 0.000], [0.000, 0.000, 4.077]], "species": ["Co", "Co", "Co", "Co", "Sc", "Sc", "Sc", "Sc", "Tc", "Tc"], "fractional_positions": [[0.368, 0.868, 0.000], [0.868, 0.632, 0.000], [0.132, 0.368, 0.000], [0.632, 0.132, 0.000], [0.321, 0.179, 0.500], [0.821, 0.321, 0.500], [0.179, 0.679, 0.500], [0.679, 0.821, 0.500], [0.000, 0.000, 0.000], [0.500, 0.500, 0.000]], "dos_at_fermi_per_ev_fu": 5.25, "spacegroup": "P4/mbm", "final_energy_ev_per_cell": -76.35, "formation_enthalpy_0k_mev_per_atom": -187, "vol_a3_per_fu": 79.1}


[2]
{"formula": "Li2AsH", "functional": "PBE", "state": "optimized geometry", "cell": [[5.526, 0.000, 0.000], [0.000, 5.526, 0.000], [2.763, 2.763, 3.516]], "species": ["As", "As", "Li", "Li", "Li", "Li", "H", "H"], "fractional_positions": [[0.000, 0.000, 0.000], [0.750, 0.250, 0.500], [0.375, 0.519, 0.750], [0.875, 0.731, 0.750], [0.269, 0.625, 0.250], [0.481, 0.125, 0.250], [0.250, 0.750, 0.500], [0.500, 0.500, 0.000]], "dos_at_fermi_per_ev_fu": 1.65, "de_polymorph_mev_per_atom": 195.4, "spacegroup": "I-42d", "final_energy_ev_per_cell": -25.36, "vol_a3_per_fu": 53.7}


[3]
{"formula": "LiBeFe2", "functional": "PBE", "state": "optimized geometry", "cell": [[2.399, 0.017, 0.000], [-0.715, 2.290, 0.000], [0.000, 0.000, 8.090]], "species": ["Fe", "Fe", "Li", "Be"], "fractional_positions": [[0.500, 0.500, 0.236], [0.000, 0.000, 0.986], [0.000, 0.000, 0.507], [0.500, 0.500, 0.770]], "dos_at_fermi_per_ev_fu": 2.76, "spacegroup": "Cmm2", "final_energy_ev_per_cell": -22.09, "formation_enthalpy_0k_mev_per_atom": 118, "vol_a3_per_fu": 44.5}


[4]
{"formula": "Hf2AuO", "functional": "PBE", "state": "optimized geometry", "cell": [[-3.482, -2.659, -3.097], [1.436, -4.609, 2.343], [-4.984, -2.917, 3.461]], "species": ["Hf", "Hf", "Hf", "Hf", "O", "O", "Au", "Au"], "fractional_positions": [[0.221, 0.625, 0.250], [0.875, 0.779, 0.750], [0.375, 0.471, 0.750], [0.529, 0.125, 0.250], [0.500, 0.500, 0.000], [0.250, 0.750, 0.500], [0.000, 0.000, 0.000], [0.750, 0.250, 0.500]], "formation_energy_uncorrected_ev_per_atom": -1.18, "dos_at_fermi_per_ev_fu": 2.94, "spacegroup": "I-42d", "final_energy_ev_per_cell": -65.76, "vol_a3_per_fu": 80.1}


[5]
{"formula": "Be2IN", "functional": "PBE", "state": "optimized geometry", "cell": [[5.068, 0.000, 0.000], [0.000, 5.068, 0.000], [2.534, 2.534, 4.378]], "species": ["I", "I", "Be", "Be", "Be", "Be", "N", "N"], "fractional_positions": [[0.000, 0.000, 0.000], [0.750, 0.250, 0.500], [0.875, 0.546, 0.750], [0.296, 0.125, 0.250], [0.454, 0.625, 0.250], [0.375, 0.704, 0.750], [0.250, 0.750, 0.500], [0.500, 0.500, 0.000]], "formation_energy_uncorrected_ev_per_atom": -0.45, "dos_at_fermi_per_ev_fu": 0.00, "de_polymorph_mev_per_atom": 0.0, "spacegroup": "I-42d", "final_energy_ev_per_cell": -38.28, "vol_a3_per_fu": 56.2}


[6]
{"formula": "BaTiSeN2", "functional": "PBE", "state": "optimized geometry", "cell": [[4.234, 0.000, 0.000], [0.000, 4.234, 0.000], [0.000, 0.000, 5.142]], "species": ["Ba", "Se", "N", "N", "Ti"], "fractional_positions": [[0.500, 0.500, 0.500], [0.000, 0.000, 0.500], [0.500, 0.000, 0.000], [0.000, 0.500, 0.000], [0.000, 0.000, 0.000]], "formation_energy_uncorrected_ev_per_atom": -0.46, "dos_at_fermi_per_ev_fu": 3.59, "de_polymorph_mev_per_atom": 0.0, "spacegroup": "P4/mmm", "final_energy_ev_per_cell": -32.26, "vol_a3_per_fu": 92.2}


[7]
{"formula": "LiCuCl2", "functional": "PBE", "state": "optimized geometry", "cell": [[-2.451, 2.449, -0.305], [-2.286, -2.398, 1.062], [0.922, 1.626, 5.653]], "species": ["Li", "Cu", "Cl", "Cl"], "fractional_positions": [[0.500, 0.500, 0.915], [0.000, 0.000, 0.435], [0.500, 0.500, 0.324], [0.000, 0.000, 0.826]], "formation_energy_uncorrected_ev_per_atom": -1.02, "spacegroup": "Cmm2", "final_energy_ev_per_cell": -13.79, "vol_a3_per_fu": 72.0}


[8]
{"formula": "Li4Ga3Ir2", "functional": "PBE", "state": "optimized geometry", "cell": [[-3.502, 2.258, 1.486], [-4.126, -0.507, -2.395], [-4.584, -4.910, 2.975]], "species": ["Li", "Li", "Li", "Li", "Ga", "Ga", "Ga", "Ir", "Ir"], "fractional_positions": [[0.890, 0.576, 0.652], [0.677, 0.657, 0.987], [0.323, 0.343, 0.013], [0.110, 0.424, 0.348], [0.562, 0.224, 0.659], [0.438, 0.776, 0.341], [0.000, 0.000, 0.000], [0.782, 0.111, 0.318], [0.218, 0.889, 0.682]], "dos_at_fermi_per_ev_fu": 1.61, "de_polymorph_mev_per_atom": 29.1, "spacegroup": "P-1", "final_energy_ev_per_cell": -38.11, "formation_enthalpy_0k_mev_per_atom": -406, "vol_a3_per_fu": 125.6}


[9]
{"formula": "YTh3Mn", "functional": "PBE", "state": "optimized geometry", "cell": [[5.323, 0.000, 0.000], [0.000, 5.323, 0.000], [0.000, 0.000, 5.323]], "species": ["Th", "Th", "Th", "Y", "Mn"], "fractional_positions": [[0.000, 0.500, 0.000], [0.500, 0.000, 0.000], [0.000, 0.000, 0.500], [0.500, 0.500, 0.500], [0.000, 0.000, 0.000]], "dos_at_fermi_per_ev_fu": 9.01, "spacegroup": "Pm-3m", "final_energy_ev_per_cell": -37.20, "formation_enthalpy_0k_mev_per_atom": 139, "vol_a3_per_fu": 150.8}


[10]
{"formula": "ZrGaO2F", "functional": "PBE", "state": "optimized geometry", "cell": [[3.898, 0.000, 0.000], [0.000, 3.898, 0.000], [0.000, 0.000, 3.931]], "species": ["Ga", "F", "O", "O", "Zr"], "fractional_positions": [[0.000, 0.000, 0.000], [0.000, 0.000, 0.500], [0.500, 0.000, 0.000], [0.000, 0.500, 0.000], [0.500, 0.500, 0.500]], "formation_energy_uncorrected_ev_per_atom": -1.50, "dos_at_fermi_per_ev_fu": 3.20, "spacegroup": "P4/mmm", "final_energy_ev_per_cell": -30.86, "vol_a3_per_fu": 59.7}


[11]
{"formula": "Eu3Mn5H12", "functional": "PBE", "state": "optimized geometry", "cell": [[-2.786, 9.733, 0.524], [-4.884, -4.506, -7.656], [-2.329, -4.654, 8.699]], "species": ["H", "H", "H", "H", "H", "H", "H", "H", "H", "H", "H", "H", "H", "H", "H", "H", "H", "H", "H", "H", "H", "H", "H", "H", "H", "H", "H", "H", "H", "H", "H", "H", "H", "H", "H", "H", "H", "H", "H", "H", "H", "H", "H", "H", "H", "H", "H", "H", "Mn", "Mn", "Mn", "Mn", "Mn", "Mn", "Mn", "Mn", "Mn", "Mn", "Mn", "Mn", "Mn", "Mn", "Mn", "Mn", "Mn", "Mn", "Mn", "Mn", "Eu", "Eu", "Eu", "Eu", "Eu", "Eu", "Eu", "Eu", "Eu", "Eu", "Eu", "Eu"], "fractional_positions": [[0.086, 0.166, 0.483], [0.603, 0.586, 0.920], [0.080, 0.166, 0.183], [0.080, 0.914, 0.397], [0.483, 0.666, 0.086], [0.666, 0.483, 0.586], [0.414, 0.397, 0.580], [0.334, 0.517, 0.414], [0.183, 0.666, 0.080], [0.334, 0.817, 0.420], [0.586, 0.603, 0.420], [0.183, 0.517, 0.603], [0.683, 0.103, 0.017], [0.586, 0.983, 0.666], [0.397, 0.414, 0.080], [0.834, 0.920, 0.317], [0.017, 0.414, 0.834], [0.580, 0.897, 0.414], [0.086, 0.920, 0.103], [0.897, 0.317, 0.483], [0.683, 0.580, 0.166], [0.517, 0.334, 0.914], [0.920, 0.086, 0.603], [0.914, 0.834, 0.517], [0.834, 0.914, 0.017], [0.920, 0.834, 0.817], [0.914, 0.080, 0.897], [0.817, 0.334, 0.920], [0.166, 0.080, 0.683], [0.317, 0.420, 0.834], [0.103, 0.683, 0.517], [0.817, 0.483, 0.397], [0.580, 0.683, 0.666], [0.483, 0.817, 0.897], [0.166, 0.086, 0.983], [0.897, 0.580, 0.914], [0.397, 0.983, 0.817], [0.983, 0.397, 0.317], [0.103, 0.420, 0.086], [0.603, 0.017, 0.183], [0.666, 0.183, 0.580], [0.420, 0.103, 0.586], [0.420, 0.317, 0.334], [0.017, 0.603, 0.683], [0.414, 0.017, 0.334], [0.317, 0.897, 0.983], [0.517, 0.183, 0.103], [0.983, 0.586, 0.166], [0.125, 0.750, 0.375], [0.500, 0.500, 0.500], [0.625, 0.875, 0.250], [0.875, 0.250, 0.625], [0.250, 0.875, 0.125], [0.625, 0.750, 0.875], [0.500, 0.000, 0.000], [0.750, 0.125, 0.875], [0.500, 0.000, 0.500], [0.250, 0.375, 0.625], [0.000, 0.500, 0.000], [0.125, 0.375, 0.250], [0.500, 0.500, 0.000], [0.000, 0.500, 0.500], [0.375, 0.125, 0.750], [0.000, 0.000, 0.500], [0.875, 0.625, 0.750], [0.375, 0.250, 0.125], [0.750, 0.625, 0.375], [0.000, 0.000, 0.000], [0.375, 0.625, 0.250], [0.375, 0.750, 0.625], [0.625, 0.375, 0.750], [0.750, 0.375, 0.125], [0.125, 0.875, 0.750], [0.250, 0.625, 0.875], [0.750, 0.875, 0.625], [0.875, 0.125, 0.250], [0.875, 0.750, 0.125], [0.125, 0.250, 0.875], [0.250, 0.125, 0.375], [0.625, 0.250, 0.375]], "dos_at_fermi_per_ev_fu": 42.85, "spacegroup": "Ia-3d", "final_energy_ev_per_cell": -472.88, "vol_a3_per_fu": 200.5}


[12]
{"formula": "CeHgIr", "functional": "PBE", "state": "optimized geometry", "cell": [[-2.401, 0.229, 3.498], [-1.675, -3.434, -3.506], [5.137, -4.069, 3.794]], "species": ["Hg", "Hg", "Ce", "Ce", "Ir", "Ir"], "fractional_positions": [[0.628, 0.256, 0.427], [0.372, 0.744, 0.573], [0.879, 0.758, 0.167], [0.121, 0.242, 0.833], [0.188, 0.376, 0.201], [0.812, 0.624, 0.799]], "dos_at_fermi_per_ev_fu": 4.09, "de_polymorph_mev_per_atom": 253.9, "spacegroup": "C2/m", "final_energy_ev_per_cell": -32.31, "formation_enthalpy_0k_mev_per_atom": -353, "vol_a3_per_fu": 74.2}


[13]
{"formula": "Tl2CrS3", "functional": "PBE", "state": "optimized geometry", "cell": [[-2.357, -1.581, -5.799], [4.991, -5.129, -1.688], [-1.817, -6.949, 1.575]], "species": ["Tl", "Tl", "Tl", "Tl", "S", "S", "S", "S", "S", "S", "Cr", "Cr"], "fractional_positions": [[0.167, 0.490, 0.191], [0.333, 0.809, 0.510], [0.833, 0.510, 0.809], [0.667, 0.191, 0.490], [0.995, 0.932, 0.828], [0.505, 0.172, 0.068], [0.250, 0.358, 0.642], [0.750, 0.642, 0.358], [0.005, 0.068, 0.172], [0.495, 0.828, 0.932], [0.250, 0.075, 0.925], [0.750, 0.925, 0.075]], "formation_energy_uncorrected_ev_per_atom": -0.44, "dos_at_fermi_per_ev_fu": 1.06, "spacegroup": "C2/c", "final_energy_ev_per_cell": -58.74, "vol_a3_per_fu": 154.7}


[14]
{"formula": "Ca2TlZnO4", "functional": "PBE", "state": "optimized geometry", "cell": [[-2.642, -1.730, -1.619], [3.837, -2.115, -4.001], [0.061, -3.930, 4.100]], "species": ["Ca", "Ca", "O", "O", "O", "O", "Tl", "Zn"], "fractional_positions": [[0.500, 0.000, 0.500], [0.000, 0.500, 0.500], [0.500, 0.724, 0.714], [0.000, 0.193, 0.764], [0.000, 0.807, 0.236], [0.500, 0.276, 0.286], [0.500, 0.500, 0.000], [0.000, 0.000, 0.000]], "formation_energy_uncorrected_ev_per_atom": -1.81, "dos_at_fermi_per_ev_fu": 2.85, "spacegroup": "P2/m", "final_energy_ev_per_cell": -41.97, "vol_a3_per_fu": 116.3}


[15]
{"formula": "PmAg2Br6", "functional": "PBE", "state": "optimized geometry", "cell": [[-2.927, -5.963, 3.059], [4.379, -7.573, -4.796], [6.080, -2.025, 7.645]], "species": ["Ag", "Ag", "Ag", "Ag", "Br", "Br", "Br", "Br", "Br", "Br", "Br", "Br", "Br", "Br", "Br", "Br", "Pm", "Pm"], "fractional_positions": [[0.344, 0.494, 0.682], [0.844, 0.682, 0.494], [0.156, 0.318, 0.506], [0.656, 0.506, 0.318], [0.953, 0.534, 0.694], [0.047, 0.466, 0.306], [0.322, 0.357, 0.911], [0.153, 0.817, 0.946], [0.453, 0.694, 0.534], [0.347, 0.054, 0.183], [0.822, 0.911, 0.357], [0.178, 0.089, 0.643], [0.653, 0.946, 0.817], [0.847, 0.183, 0.054], [0.547, 0.306, 0.466], [0.678, 0.643, 0.089], [0.250, 0.086, 0.914], [0.750, 0.914, 0.086]], "formation_energy_uncorrected_ev_per_atom": -0.93, "dos_at_fermi_per_ev_fu": 7.45, "spacegroup": "C2/c", "final_energy_ev_per_cell": -57.78, "vol_a3_per_fu": 342.5}


[16]
{"formula": "PmTh2Zn3", "functional": "PBE", "state": "optimized geometry", "cell": [[-1.639, 1.873, 2.691], [-0.660, -3.135, 1.780], [9.604, 0.931, 5.202]], "species": ["Zn", "Zn", "Zn", "Th", "Th", "Pm"], "fractional_positions": [[0.000, 0.000, 0.663], [0.000, 0.000, 0.337], [0.000, 0.000, 0.000], [0.500, 0.500, 0.167], [0.500, 0.500, 0.833], [0.500, 0.500, 0.500]], "dos_at_fermi_per_ev_fu": 4.76, "de_polymorph_mev_per_atom": 0.0, "spacegroup": "P4/mmm", "final_energy_ev_per_cell": -24.76, "formation_enthalpy_0k_mev_per_atom": -224, "vol_a3_per_fu": 147.3}


[17]
{"formula": "KTa3Se6", "functional": "PBE", "state": "optimized geometry", "cell": [[3.499, 0.000, 0.000], [0.000, 12.513, -2.404], [0.000, 1.308, 13.665]], "species": ["Se", "Se", "Se", "Se", "Se", "Se", "Se", "Se", "Se", "Se", "Se", "Se", "K", "K", "Ta", "Ta", "Ta", "Ta", "Ta", "Ta"], "fractional_positions": [[0.250, 0.733, 0.341], [0.750, 0.267, 0.659], [0.750, 0.455, 0.286], [0.750, 0.416, 0.906], [0.250, 0.169, 0.861], [0.250, 0.545, 0.714], [0.750, 0.104, 0.118], [0.750, 0.831, 0.139], [0.250, 0.896, 0.882], [0.250, 0.584, 0.094], [0.750, 0.647, 0.531], [0.250, 0.353, 0.469], [0.250, 0.319, 0.081], [0.750, 0.681, 0.919], [0.250, 0.543, 0.418], [0.250, 0.955, 0.070], [0.750, 0.635, 0.228], [0.750, 0.457, 0.582], [0.250, 0.365, 0.772], [0.750, 0.045, 0.930]], "formation_energy_uncorrected_ev_per_atom": -0.84, "dos_at_fermi_per_ev_fu": 3.12, "spacegroup": "P2_1/m", "final_energy_ev_per_cell": -131.90, "vol_a3_per_fu": 304.7}


[18]
{"formula": "LiMgRe", "functional": "PBE", "state": "optimized geometry", "cell": [[-4.037, -1.071, -2.660], [-0.901, -4.735, -1.133], [0.535, 3.579, 3.380]], "species": ["Li", "Re", "Mg"], "fractional_positions": [[0.002, 0.002, 0.000], [0.667, 0.667, 0.000], [0.331, 0.331, 0.000]], "dos_at_fermi_per_ev_fu": 2.62, "de_polymorph_mev_per_atom": 409.6, "spacegroup": "Imm2", "final_energy_ev_per_cell": -14.57, "formation_enthalpy_0k_mev_per_atom": 463, "vol_a3_per_fu": 47.5}


[19]
{"formula": "HfTiBe2", "functional": "PBE", "state": "optimized geometry", "cell": [[4.861, -1.623, -2.677], [-1.584, 4.874, 2.677], [-3.496, 0.247, 4.598]], "species": ["Be", "Be", "Ti", "Hf"], "fractional_positions": [[0.000, 0.759, 0.759], [0.000, 0.241, 0.241], [0.000, 0.000, 0.000], [0.000, 0.500, 0.500]], "dos_at_fermi_per_ev_fu": 2.39, "de_polymorph_mev_per_atom": 1023.2, "spacegroup": "Immm", "final_energy_ev_per_cell": -21.66, "formation_enthalpy_0k_mev_per_atom": 911, "vol_a3_per_fu": 64.5}


[20]
{"formula": "GePd12Pb3", "functional": "PBE", "state": "optimized geometry", "cell": [[4.079, 0.000, 0.000], [0.000, 4.079, 0.000], [0.000, 0.000, 16.179]], "species": ["Pd", "Pd", "Pd", "Pd", "Pd", "Pd", "Pd", "Pd", "Pd", "Pd", "Pd", "Pd", "Pb", "Pb", "Pb", "Ge"], "fractional_positions": [[0.500, 0.500, 0.500], [0.500, 0.000, 0.114], [0.500, 0.500, 0.243], [0.500, 0.500, 0.757], [0.500, 0.500, 0.000], [0.500, 0.000, 0.886], [0.000, 0.500, 0.628], [0.500, 0.000, 0.372], [0.500, 0.000, 0.628], [0.000, 0.500, 0.372], [0.000, 0.500, 0.114], [0.000, 0.500, 0.886], [0.000, 0.000, 0.756], [0.000, 0.000, 0.244], [0.000, 0.000, 0.500], [0.000, 0.000, 0.000]], "dos_at_fermi_per_ev_fu": 4.45, "spacegroup": "P4/mmm", "final_energy_ev_per_cell": -82.98, "formation_enthalpy_0k_mev_per_atom": -308, "vol_a3_per_fu": 269.1}